Density functional theory data (PBE) for a relaxed Ba2CoRe crystal.

The structure in POSCAR format:
```
Ba2CoRe
1.0
3.995 0.000 0.000
0.000 4.884 0.000
0.000 0.000 13.207
Ba Co Re
4 2 2
direct
0.000 0.000 0.000
0.000 0.500 0.237
0.500 0.000 0.737
0.500 0.500 0.500
0.000 0.500 0.832
0.500 0.000 0.332
0.000 0.000 0.410
0.500 0.500 0.910
```

## Properties
Space-group type: Imm2, No. 44
Calculated total energy: -0.19085 hartree per atom
Total magnetization: 0.0 μB per formula unit
Crystal system: orthorhombic


Density functional theory data (PBE) for a relaxed BaCoRe crystal.

The structure in POSCAR format:
```
BaCoRe
1.0
4.308 0.000 0.000
0.000 4.210 0.000
-0.400 0.000 9.050
Ba Co Re
2 2 2
direct
0.000 0.000 0.000
0.484 0.500 0.611
0.039 0.500 0.309
0.904 0.000 0.427
0.410 0.000 0.317
0.560 0.500 0.196
```

## Properties
Space-group type: Pm, No. 6
Calculated total energy: -0.24731 hartree per atom
Total magnetization: 0.2 μB per formula unit
Crystal system: monoclinic


Density functional theory data (PBE) for a relaxed BaCoRe crystal.

The structure in POSCAR format:
```
BaCoRe
1.0
3.160 0.000 0.000
0.000 3.160 0.000
0.000 0.000 12.611
Ba Co Re
2 2 2
direct
0.000 0.000 0.000
0.500 0.500 0.500
0.000 0.000 0.709
0.500 0.500 0.209
0.000 0.000 0.287
0.500 0.500 0.787
```

## Properties
Space-group type: I4mm, No. 107
Calculated total energy: -0.23406 hartree per atom
Total magnetization: 0.3 μB per formula unit
Crystal system: tetragonal


Density functional theory data (PBE) for a relaxed BaCoRe crystal.

The structure in POSCAR format:
```
BaCoRe
1.0
3.986 0.000 0.000
-1.993 3.452 0.000
0.000 0.000 10.673
Ba Co Re
2 2 2
direct
0.000 0.000 0.000
0.000 0.000 0.500
0.333 0.667 0.250
0.667 0.333 0.750
0.333 0.667 0.750
0.667 0.333 0.250
```

## Properties
Space-group type: P6_3/mmc, No. 194
Calculated total energy: -0.23966 hartree per atom
Total magnetization: 0.0 μB per formula unit
Crystal system: hexagonal


Density functional theory data (PBE) for a relaxed Ba2CoRe crystal.

The structure in POSCAR format:
```
Ba2CoRe
1.0
11.683 0.000 0.000
0.000 11.683 0.000
0.000 0.000 4.481
Ba Co Re
8 4 4
direct
0.071 0.250 0.125
0.250 0.571 0.375
0.250 0.929 0.875
0.429 0.250 0.625
0.571 0.750 0.625
0.750 0.071 0.875
0.750 0.429 0.375
0.929 0.750 0.125
0.000 0.000 0.000
0.000 0.500 0.250
0.500 0.000 0.750
0.500 0.500 0.500
0.000 0.000 0.500
0.000 0.500 0.750
0.500 0.000 0.250
0.500 0.500 0.000
```

## Properties
Space-group type: I-42d, No. 122
Calculated total energy: -0.18206 hartree per atom
Total magnetization: 1.8 μB per formula unit
Crystal system: tetragonal


Density functional theory data (PBE) for a relaxed BaCoRe crystal.

The structure in POSCAR format:
```
BaCoRe
1.0
4.084 0.000 0.000
0.000 4.861 0.000
0.000 0.000 9.384
Ba Co Re
2 2 2
direct
0.000 0.000 0.000
0.500 0.500 0.426
0.000 0.255 0.671
0.000 0.745 0.671
0.500 0.000 0.716
0.500 0.500 0.774
```

## Properties
Space-group type: Pmm2, No. 25
Calculated total energy: -0.24791 hartree per atom
Total magnetization: 0.6 μB per formula unit
Crystal system: orthorhombic


Density functional theory data (PBE) for a relaxed Ba2CoRe crystal.

The structure in POSCAR format:
```
Ba2CoRe
1.0
9.240 0.000 0.000
0.000 3.076 0.000
-0.437 0.000 7.890
Ba Co Re
4 2 2
direct
0.247 0.000 0.250
0.253 0.500 0.750
0.747 0.500 0.250
0.753 0.000 0.750
0.000 0.000 0.500
0.500 0.500 0.500
0.000 0.500 0.000
0.500 0.000 0.000
```

## Properties
Space-group type: C2/m, No. 12
Calculated total energy: -0.16076 hartree per atom
Total magnetization: 2.6 μB per formula unit
Crystal system: monoclinic


Density functional theory data (PBE) for a relaxed BaCo3Re crystal.

The structure in POSCAR format:
```
BaCo3Re
1.0
4.663 0.000 0.000
0.000 4.663 0.000
0.000 0.000 4.663
Ba Co Re
1 3 1
direct
0.000 0.000 0.000
0.000 0.500 0.500
0.500 0.000 0.500
0.500 0.500 0.000
0.500 0.500 0.500
```

## Properties
Space-group type: Pm-3m, No. 221
Calculated total energy: -0.22966 hartree per atom
Total magnetization: 2.6 μB per formula unit
Crystal system: cubic


Density functional theory data (PBE) for a relaxed BaCoRe crystal.

The structure in POSCAR format:
```
BaCoRe
1.0
4.179 0.000 0.000
0.000 4.179 0.000
0.000 0.000 9.408
Ba Co Re
2 2 2
direct
0.250 0.250 0.199
0.750 0.750 0.801
0.250 0.250 0.623
0.750 0.750 0.377
0.250 0.750 0.500
0.750 0.250 0.500
```

## Properties
Space-group type: P4/nmm, No. 129
Calculated total energy: -0.24922 hartree per atom
Total magnetization: 0.9 μB per formula unit
Crystal system: tetragonal


Density functional theory data (PBE) for a relaxed BaCoRe crystal.

The structure in POSCAR format:
```
BaCoRe
1.0
4.120 0.000 0.000
2.060 3.569 0.000
0.078 0.129 11.002
Ba Co Re
2 2 2
direct
0.167 0.177 0.202
0.833 0.823 0.798
0.500 0.496 0.607
0.500 0.504 0.393
0.167 0.165 0.547
0.833 0.835 0.453
```

## Properties
Space-group type: P-1, No. 2
Calculated total energy: -0.24980 hartree per atom
Total magnetization: 0.7 μB per formula unit
Crystal system: triclinic


Density functional theory data (PBE) for a relaxed Ba2CoRe crystal.

The structure in POSCAR format:
```
Ba2CoRe
1.0
5.271 0.000 0.000
0.000 5.271 0.000
0.000 0.000 7.527
Ba Co Re
4 2 2
direct
0.000 0.000 0.000
0.000 0.500 0.250
0.500 0.000 0.750
0.500 0.500 0.500
0.000 0.500 0.750
0.500 0.000 0.250
0.000 0.000 0.500
0.500 0.500 0.000
```

## Properties
Space-group type: I-4m2, No. 119
Calculated total energy: -0.16561 hartree per atom
Total magnetization: 3.9 μB per formula unit
Crystal system: tetragonal


Density functional theory data (PBE) for a relaxed BaCo3Re crystal.

The structure in POSCAR format:
```
BaCo3Re
1.0
4.708 0.000 0.000
0.000 4.708 0.000
0.000 0.000 4.708
Ba Co Re
1 3 1
direct
0.000 0.000 0.000
0.000 0.000 0.500
0.000 0.500 0.000
0.500 0.000 0.000
0.500 0.500 0.500
```

## Properties
Space-group type: Pm-3m, No. 221
Calculated total energy: -0.15909 hartree per atom
Total magnetization: 6.5 μB per formula unit
Crystal system: cubic


Density functional theory data (PBE) for a relaxed Ba2CoRe crystal.

The structure in POSCAR format:
```
Ba2CoRe
1.0
7.737 0.000 0.000
0.000 7.737 0.000
0.000 0.000 7.737
Ba Co Re
8 4 4
direct
0.250 0.250 0.250
0.250 0.250 0.750
0.250 0.750 0.250
0.250 0.750 0.750
0.750 0.250 0.250
0.750 0.250 0.750
0.750 0.750 0.250
0.750 0.750 0.750
0.000 0.000 0.000
0.000 0.500 0.500
0.500 0.000 0.500
0.500 0.500 0.000
0.000 0.000 0.500
0.000 0.500 0.000
0.500 0.000 0.000
0.500 0.500 0.500
```

## Properties
Space-group type: Fm-3m, No. 225
Calculated total energy: -0.16667 hartree per atom
Total magnetization: 4.1 μB per formula unit
Crystal system: cubic


Density functional theory data (PBE) for a relaxed BaCoRe crystal.

The structure in POSCAR format:
```
BaCoRe
1.0
6.613 0.000 0.000
0.000 6.613 0.000
0.000 0.000 6.613
Ba Co Re
4 4 4
direct
0.000 0.000 0.000
0.000 0.500 0.500
0.500 0.000 0.500
0.500 0.500 0.000
0.250 0.250 0.250
0.250 0.750 0.750
0.750 0.250 0.750
0.750 0.750 0.250
0.000 0.000 0.500
0.000 0.500 0.000
0.500 0.000 0.000
0.500 0.500 0.500
```

## Properties
Space-group type: F-43m, No. 216
Calculated total energy: -0.20523 hartree per atom
Total magnetization: 4.0 μB per formula unit
Crystal system: cubic


Respective calculated volume values: 32.2, 27.4, 21.0, 24.5, 38.2, 31.0, 28.0, 20.3, 27.4, 27.0, 26.1, 20.9, 28.9, 24.1 A^3/atom.
Respective distance to the lowest polymorph of the same formula values: 249, 102, 462, 310, 488, 86, 1068, 0, 50, 34, 936, 1920, 907, 1247 meV/atom.